1.
The following is a DFT calculation (GGA-PBE) of a relaxed KBeS2N crystal.

Cell: 5.433 5.433 3.060 Å, 90.00 90.00 90.00°
Sites, in units of the cell vectors:
Be: 0.000 0.000 0.000
K: 0.500 0.500 0.500
S: 0.000 0.500 0.000
S: 0.500 0.000 0.000
N: 0.000 0.000 0.500

Properties
E above lowest polymorph ... 0 meV/atom
Formation energy (no corrections) ... 272.7 meV per atom

---

2.
The following is a DFT calculation (GGA-PBE) of a relaxed MnVPb2 crystal.

Cell: 4.996 4.996 4.996 Å, 60.00 60.00 60.00°
Sites, in units of the cell vectors:
Pb: 0.250 0.250 0.250
Pb: 0.750 0.750 0.750
Mn: 0.500 0.500 0.500
V: 0.000 0.000 0.000

Properties
E above lowest polymorph ... 0 meV/atom

---

3.
The following is a DFT calculation (GGA-PBE) of a relaxed Tm2PC crystal.

Cell: 4.043 4.043 7.765 Å, 74.91 74.91 60.00°
Sites, in units of the cell vectors:
P: 0.500 0.500 0.500
C: 0.000 0.000 0.000
Tm: 0.100 0.100 0.699
Tm: 0.900 0.900 0.301

Properties
Total DFT energy (no corrections) ... -22.66 eV per cell

---

4.
The following is a DFT calculation (GGA-PBE) of a relaxed Zr2SbRuO crystal.

Cell: 5.350 4.680 5.350 Å, 90.00 90.00 90.00°
Sites, in units of the cell vectors:
Sb: 0.000 0.000 0.000
O: 0.500 0.500 0.500
Zr: 0.000 0.000 0.500
Zr: 0.500 0.000 0.000
Ru: 0.000 0.500 0.000

Properties
Formation energy (no corrections) ... 1312.0 meV per atom

---

5.
The following is a DFT calculation (GGA-PBE) of a relaxed La3BiAsCl crystal.

Cell: 4.520 8.877 9.927 Å, 103.45 90.00 90.00°
Sites, in units of the cell vectors:
La: 0.250 0.730 0.483
La: 0.750 0.891 0.132
La: 0.750 0.429 0.152
La: 0.750 0.270 0.517
La: 0.250 0.571 0.848
La: 0.250 0.109 0.868
Bi: 0.750 0.814 0.770
Bi: 0.250 0.186 0.230
As: 0.250 0.663 0.159
As: 0.750 0.337 0.841
Cl: 0.250 0.097 0.581
Cl: 0.750 0.903 0.419

Properties
Formation energy (no corrections) ... -1329.0 meV per atom

---

6.
The following is a DFT calculation (GGA-PBE) of a relaxed In2GaIrPb crystal.

Cell: 5.233 5.233 4.813 Å, 90.00 90.00 90.00°
Sites, in units of the cell vectors:
Pb: 0.500 0.500 0.500
Ir: 0.000 0.000 0.000
Ga: 0.000 0.000 0.500
In: 0.000 0.500 0.000
In: 0.500 0.000 0.000

Properties
Total DFT energy (no corrections) ... -21.07 eV per cell

---

7.
The following is a DFT calculation (GGA-PBE) of a relaxed NaPm2Pb crystal.

Cell: 4.574 5.122 5.122 Å, 90.00 90.00 90.00°
Sites, in units of the cell vectors:
Pb: 0.500 0.500 0.500
Na: 0.500 0.000 0.000
Pm: 0.000 0.000 0.500
Pm: 0.000 0.500 0.000

Properties
E above lowest polymorph ... 0 meV/atom

---

8.
The following is a DFT calculation (GGA-PBE) of a relaxed ScCuPPt2 crystal.

Cell: 4.587 4.631 4.587 Å, 90.00 90.00 90.00°
Sites, in units of the cell vectors:
Sc: 0.000 0.500 0.000
P: 0.500 0.500 0.500
Cu: 0.000 0.000 0.000
Pt: 0.000 0.000 0.500
Pt: 0.500 0.000 0.000

Properties
Total DFT energy (no corrections) ... -25.58 eV per cell

---

9.
The following is a DFT calculation (GGA-PBE) of a relaxed BaSr3Se crystal.

Cell: 6.557 6.557 6.557 Å, 90.00 90.00 90.00°
Sites, in units of the cell vectors:
Sr: 0.000 0.500 0.000
Sr: 0.000 0.000 0.500
Sr: 0.500 0.000 0.000
Ba: 0.000 0.000 0.000
Se: 0.500 0.500 0.500

Properties
E above lowest polymorph ... 1409 meV/atom
Formation energy (no corrections) ... 744.2 meV per atom

---

10.
The following is a DFT calculation (GGA-PBE) of a relaxed TlCoSn2Cl crystal.

Cell: 4.896 4.896 5.242 Å, 90.00 90.00 90.00°
Sites, in units of the cell vectors:
Tl: 0.000 0.000 0.500
Co: 0.000 0.000 0.000
Sn: 0.000 0.500 0.000
Sn: 0.500 0.000 0.000
Cl: 0.500 0.500 0.500

Properties
Formation energy (no corrections) ... -223.7 meV per atom

---

11.
The following is a DFT calculation (GGA-PBE) of a relaxed Ho5Al2Bi2 crystal.

Cell: 8.025 8.023 8.794 Å, 117.14 90.00 90.00°
Sites, in units of the cell vectors:
Ho: 0.000 0.000 0.000
Ho: 0.500 0.500 0.000
Ho: 0.830 0.800 0.258
Ho: 0.170 0.458 0.258
Ho: 0.330 0.958 0.258
Ho: 0.670 0.300 0.258
Ho: 0.170 0.200 0.742
Ho: 0.830 0.542 0.742
Ho: 0.670 0.042 0.742
Ho: 0.330 0.700 0.742
Al: 0.621 0.878 0.000
Al: 0.379 0.122 0.000
Al: 0.121 0.622 0.000
Al: 0.879 0.378 0.000
Bi: 0.000 0.208 0.415
Bi: 0.500 0.708 0.415
Bi: 0.000 0.792 0.585
Bi: 0.500 0.292 0.585

Properties
Total DFT energy (no corrections) ... -86.86 eV per cell

---

12.
The following is a DFT calculation (GGA-PBE) of a relaxed Na2IrPb crystal.

Cell: 4.025 4.025 11.403 Å, 79.83 79.83 90.00°
Sites, in units of the cell vectors:
Pb: 0.000 0.000 0.000
Pb: 0.750 0.250 0.500
Na: 0.606 0.125 0.250
Na: 0.144 0.625 0.250
Na: 0.375 0.394 0.750
Na: 0.875 0.856 0.750
Ir: 0.500 0.500 0.000
Ir: 0.250 0.750 0.500

Properties
Total DFT energy (no corrections) ... -27.49 eV per cell

---

13.
The following is a DFT calculation (GGA-PBE) of a relaxed CeEuCu2 crystal.

Cell: 5.057 5.057 5.057 Å, 60.00 60.00 60.00°
Sites, in units of the cell vectors:
Eu: 0.000 0.000 0.000
Cu: 0.250 0.250 0.250
Cu: 0.750 0.750 0.750
Ce: 0.500 0.500 0.500

Properties
E above lowest polymorph ... 28 meV/atom